[1]
# Tl2FeBAs | the Alexandria database | PBE-GGA | optimized geometry
# - DOS at the Fermi energy: 2.936 states/eV per cell
# - Formation enthalpy at 0 K: 1.42 eV/atom
# - Density: 6.52 Mg/m³
# - E_tot: -3.4821 eV/atom
data_Tl2FeBAs
_symmetry_space_group_name_H-M 'P 4/m m m'
_symmetry_Int_Tables_number 123
_symmetry_space_group_name_Hall '-P 4 2'
_cell_length_a 5.612
_cell_length_b 5.612
_cell_length_c 4.447
_cell_angle_alpha 90.00
_cell_angle_beta 90.00
_cell_angle_gamma 90.00
loop_
_atom_site_label
_atom_site_fract_x
_atom_site_fract_y
_atom_site_fract_z
Tl1 0.000 0.500 0.000
Fe1 0.000 0.000 0.500
B1 0.500 0.500 0.500
As1 0.000 0.000 0.000

[2]
# Ga2BAs | the Alexandria database | PBE-GGA | optimized geometry
# - DOS at the Fermi energy: 6.359 states/eV per cell
# - Formation enthalpy at 0 K: 0.31 eV/atom
# - Density: 5.09 Mg/m³
# - Energy relative to the lowest polymorph listed for this composition: 0.000 eV per atom
# - E_tot: -4.0380 eV/atom
data_Ga2BAs
_symmetry_space_group_name_H-M 'I -4 2 d'
_symmetry_Int_Tables_number 122
_symmetry_space_group_name_Hall 'I -4 2bw'
_cell_length_a 4.957
_cell_length_b 4.957
_cell_length_c 11.969
_cell_angle_alpha 90.00
_cell_angle_beta 90.00
_cell_angle_gamma 90.00
loop_
_atom_site_label
_atom_site_fract_x
_atom_site_fract_y
_atom_site_fract_z
Ga1 0.176 0.250 0.125
B1 0.000 0.000 0.000
As1 0.000 0.000 0.500

[3]
# GaBAs3 | the Alexandria database | PBE-GGA | optimized geometry
# - DOS at the Fermi energy: 2.912 states/eV per cell
# - Formation enthalpy at 0 K: 0.70 eV/atom
# - Density: 5.66 Mg/m³
# - Energy relative to the lowest polymorph listed for this composition: 0.000 eV per atom
# - E_tot: -4.0281 eV/atom
data_GaBAs3
_symmetry_space_group_name_H-M 'P m -3 m'
_symmetry_Int_Tables_number 221
_symmetry_space_group_name_Hall '-P 4 2 3'
_cell_length_a 4.475
_cell_length_b 4.475
_cell_length_c 4.475
_cell_angle_alpha 90.00
_cell_angle_beta 90.00
_cell_angle_gamma 90.00
loop_
_atom_site_label
_atom_site_fract_x
_atom_site_fract_y
_atom_site_fract_z
Ga1 0.000 0.000 0.000
B1 0.500 0.500 0.500
As1 0.000 0.500 0.500

[4]
# GaBAs3 | the Alexandria database | PBE-GGA | optimized geometry
# - DOS at the Fermi energy: 4.095 states/eV per cell
# - Formation enthalpy at 0 K: 1.54 eV/atom
# - Density: 4.31 Mg/m³
# - Energy relative to the lowest polymorph listed for this composition: 0.839 eV per atom
# - E_tot: -3.1891 eV/atom
data_GaBAs3
_symmetry_space_group_name_H-M 'P m -3 m'
_symmetry_Int_Tables_number 221
_symmetry_space_group_name_Hall '-P 4 2 3'
_cell_length_a 4.898
_cell_length_b 4.898
_cell_length_c 4.898
_cell_angle_alpha 90.00
_cell_angle_beta 90.00
_cell_angle_gamma 90.00
loop_
_atom_site_label
_atom_site_fract_x
_atom_site_fract_y
_atom_site_fract_z
Ga1 0.000 0.000 0.000
B1 0.500 0.500 0.500
As1 0.000 0.000 0.500

[5]
# GaBAs | the Alexandria database | PBE-GGA | optimized geometry
# - DOS at the Fermi energy: 4.081 states/eV per cell
# - Formation enthalpy at 0 K: 0.38 eV/atom
# - Density: 4.40 Mg/m³
# - E_tot: -4.4069 eV/atom
data_GaBAs
_symmetry_space_group_name_H-M 'C 1 2/m 1'
_symmetry_Int_Tables_number 12
_cell_length_a 13.340
_cell_length_b 3.944
_cell_length_c 4.472
_cell_angle_alpha 90.00
_cell_angle_beta 94.19
_cell_angle_gamma 90.00
loop_
_symmetry_equiv_pos_as_xyz
'x,y,z'
'-x,-y,-z'
'-x,y,-z'
'x,-y,z'
'x+1/2,y+1/2,z'
'-x+1/2,-y+1/2,-z'
'-x+1/2,y+1/2,-z'
'x+1/2,-y+1/2,z'
loop_
_atom_site_label
_atom_site_fract_x
_atom_site_fract_y
_atom_site_fract_z
Ga1 0.216 0.000 0.283
B1 0.000 0.500 0.320
As1 0.111 0.500 0.022

[6]
# Ga2BAs | the Alexandria database | PBE-GGA | optimized geometry
# - DOS at the Fermi energy: 9.683 states/eV per cell
# - Formation enthalpy at 0 K: 0.85 eV/atom
# - Density: 5.76 Mg/m³
# - Energy relative to the lowest polymorph listed for this composition: 0.539 eV per atom
# - E_tot: -3.4994 eV/atom
data_Ga2BAs
_symmetry_space_group_name_H-M 'F m -3 m'
_symmetry_Int_Tables_number 225
_symmetry_space_group_name_Hall '-F 4 2 3'
_cell_length_a 6.381
_cell_length_b 6.381
_cell_length_c 6.381
_cell_angle_alpha 90.00
_cell_angle_beta 90.00
_cell_angle_gamma 90.00
loop_
_atom_site_label
_atom_site_fract_x
_atom_site_fract_y
_atom_site_fract_z
Ga1 0.250 0.250 0.250
B1 0.000 0.000 0.000
As1 0.000 0.000 0.500